VASP calculation (PBE-GGA) on crystalline NaCoBSb at its relaxed geometry.

Output
V   61.3 Å³/cell
E above lowest polymorph   323 meV per atom

abc: 4.4255 4.4255 4.4255
angles: 60.00 60.00 60.00
Last column: nearest neighbours and their distance in Å.
Fractional positions:
Na  0.0000  0.0000  0.0000  4 Sb 2.71, 4 Co 2.71
Co  0.7500  0.7500  0.7500  4 B 2.71, 4 Na 2.71
B  0.5000  0.5000  0.5000  4 Sb 2.71, 4 Co 2.71
Sb  0.2500  0.2500  0.2500  4 B 2.71, 4 Na 2.71

---

VASP calculation (PBE-GGA) on crystalline Hf2MgZn at its relaxed geometry.

Output
E_tot   -5.362 eV per atom
V   81.5 Å³/cell

abc: 4.8662 4.8662 4.8662
angles: 60.00 60.00 60.00
Last column: nearest neighbours and their distance in Å.
Fractional positions:
Hf  0.0000  0.0000  0.0000  4 Mg 2.98, 4 Hf 2.98
Hf  0.2500  0.2500  0.2500  4 Hf 2.98, 4 Zn 2.98
Mg  0.7500  0.7500  0.7500  4 Hf 2.98, 4 Zn 2.98
Zn  0.5000  0.5000  0.5000  4 Mg 2.98, 4 Hf 2.98

---

VASP calculation (PBE-GGA) on crystalline P8Os at its relaxed geometry.

Output
E_tot   -6.148 eV per atom
V   146.3 Å³/cell

abc: 5.1304 5.1846 5.9154
angles: 81.09 76.43 73.90
Last column: nearest neighbours and their distance in Å.
Fractional positions:
P  0.1466  0.3794  0.1322  3 P 2.24-2.39, 1 Os 2.37
P  0.1825  0.7636  0.2354  3 P 2.24-2.28, 1 Os 2.37
P  0.2444  0.6453  0.6078  3 P 2.23-2.27
P  0.2822  0.0446  0.6708  2 P 2.23-2.28, 1 Os 2.42
P  0.7178  0.9554  0.3292  2 P 2.23-2.28, 1 Os 2.42
P  0.7556  0.3547  0.3922  3 P 2.23-2.27
P  0.8175  0.2364  0.7646  3 P 2.24-2.28, 1 Os 2.37
P  0.8534  0.6206  0.8678  3 P 2.24-2.39, 1 Os 2.37
Os  0.5000  0.0000  0.0000  6 P 2.37-2.42

---

VASP calculation (PBE-GGA) on crystalline HfNbPO at its relaxed geometry.

Output
V   124.2 Å³/cell
E above lowest polymorph   68 meV per atom

abc: 3.4477 5.8303 6.1794
angles: 90.00 90.00 90.00
Last column: nearest neighbours and their distance in Å.
Fractional positions:
Hf  0.0000  0.0840  0.0000  2 O 2.03
Hf  0.0000  0.9160  0.5000  2 O 2.03
Nb  0.5000  0.3980  0.6690  2 O 2.15-2.23
Nb  0.5000  0.6020  0.1690  2 O 2.15-2.23
P  0.0000  0.3312  0.3726  4 Nb 2.54-2.65, 2 Hf 2.55-2.72
P  0.0000  0.6688  0.8726  4 Nb 2.54-2.65, 2 Hf 2.55-2.72
O  0.5000  0.2666  0.9940  2 Hf 2.03, 2 Nb 2.15-2.23
O  0.5000  0.7334  0.4940  2 Hf 2.03, 2 Nb 2.15-2.23

---

VASP calculation (PBE-GGA) on crystalline SmGd2CdIn2 at its relaxed geometry.

Output
E_tot   -3.697 eV per atom
V   166.7 Å³/cell

abc: 5.2036 5.2036 7.1104
angles: 90.00 90.00 120.00
Last column: nearest neighbours and their distance in Å.
Fractional positions:
Sm  0.0000  0.0000  0.0000  3 In 3.00
Gd  0.6667  0.3333  0.2574  2 Gd 3.45-3.66, 6 In 3.46-3.52, 3 Cd 3.46, 3 Sm 3.52
Gd  0.6667  0.3333  0.7426  2 Gd 3.45-3.66, 6 In 3.46-3.52, 3 Cd 3.46, 3 Sm 3.52
Cd  0.3333  0.6667  0.5000  3 In 3.00
In  0.0000  0.0000  0.5000  3 Cd 3.00
In  0.3333  0.6667  0.0000  3 Sm 3.00

---

VASP calculation (PBE-GGA) on crystalline NaYNiTe3 at its relaxed geometry.

Output
V   681.3 Å³/cell
E above lowest polymorph   17 meV per atom

abc: 10.8253 4.1540 15.1510
angles: 90.00 90.00 90.00
Last column: nearest neighbours and their distance in Å.
Fractional positions:
Na  0.2285  0.2500  0.0014  6 Te 3.21-3.25
Na  0.2715  0.7500  0.5014  6 Te 3.21-3.25
Na  0.7285  0.2500  0.4986  6 Te 3.21-3.25
Na  0.7715  0.7500  0.9986  6 Te 3.21-3.25
Y  0.0149  0.7500  0.7476  6 Te 3.02-3.06
Y  0.4851  0.2500  0.2476  6 Te 3.02-3.06
Y  0.5149  0.7500  0.7524  6 Te 3.02-3.06
Y  0.9851  0.2500  0.2524  6 Te 3.02-3.06
Ni  0.2377  0.7500  0.2361  4 Te 2.55-2.60
Ni  0.2623  0.2500  0.7361  4 Te 2.55-2.60
Ni  0.7377  0.7500  0.2639  4 Te 2.55-2.60
Ni  0.7623  0.2500  0.7639  4 Te 2.55-2.60
Te  0.0710  0.7500  0.1174  1 Ni 2.55
Te  0.1011  0.2500  0.6133  1 Ni 2.55
Te  0.2364  0.2500  0.3393  2 Ni 2.60
Te  0.2636  0.7500  0.8393  2 Ni 2.60
Te  0.3989  0.7500  0.1133  1 Ni 2.55
Te  0.4290  0.2500  0.6174  1 Ni 2.55
Te  0.5710  0.7500  0.3826  1 Ni 2.55
Te  0.6011  0.2500  0.8867  1 Ni 2.55
Te  0.7364  0.2500  0.1607  2 Ni 2.60
Te  0.7636  0.7500  0.6607  2 Ni 2.60
Te  0.8989  0.7500  0.3867  1 Ni 2.55
Te  0.9290  0.2500  0.8826  1 Ni 2.55

---

VASP calculation (PBE-GGA) on crystalline TcPIrO at its relaxed geometry.

Output
V   98.9 Å³/cell
E above lowest polymorph   414 meV per atom

abc: 3.9647 3.9647 6.2916
angles: 90.00 90.00 90.00
Last column: nearest neighbours and their distance in Å.
Fractional positions:
Tc  0.2500  0.7500  0.0000  4 P 2.36
Tc  0.7500  0.2500  0.0000  4 P 2.36
P  0.2500  0.2500  0.2050  4 Tc 2.36
P  0.7500  0.7500  0.7950  4 Tc 2.36
Ir  0.2500  0.2500  0.6762  4 O 2.27
Ir  0.7500  0.7500  0.3238  4 O 2.27
O  0.2500  0.7500  0.5000  4 Ir 2.27
O  0.7500  0.2500  0.5000  4 Ir 2.27

---

VASP calculation (PBE-GGA) on crystalline Nb2CuGe at its relaxed geometry.

Output
E_tot   -6.873 eV per atom
V   65.1 Å³/cell

abc: 4.5161 4.5161 4.5161
angles: 60.00 60.00 60.00
Last column: nearest neighbours and their distance in Å.
Fractional positions:
Nb  0.0000  0.0000  0.0000  4 Cu 2.77, 4 Nb 2.77
Nb  0.2500  0.2500  0.2500  4 Ge 2.77, 4 Nb 2.77
Cu  0.7500  0.7500  0.7500  4 Ge 2.77, 4 Nb 2.77
Ge  0.5000  0.5000  0.5000  4 Cu 2.77, 4 Nb 2.77

---

VASP calculation (PBE-GGA) on crystalline CsHoEr at its relaxed geometry.

Output
E_tot   -2.048 eV per atom
V   156.7 Å³/cell

abc: 6.0509 6.0509 6.0509
angles: 60.00 60.00 60.00
Last column: nearest neighbours and their distance in Å.
Fractional positions:
Cs  0.0000  0.0000  0.0000  4 Er 3.71
Ho  0.5000  0.5000  0.5000  4 Er 3.71
Er  0.2500  0.2500  0.2500  4 Ho 3.71, 4 Cs 3.71

---

VASP calculation (PBE-GGA) on crystalline Co3Te at its relaxed geometry.

Output
E_tot   -5.866 eV per atom
V   101.4 Å³/cell

abc: 5.2952 5.2952 4.1768
angles: 90.00 90.00 120.00
Last column: nearest neighbours and their distance in Å.
Fractional positions:
Co  0.1611  0.3221  0.2500  8 Co 2.56-2.74, 4 Te 2.62-2.65
Co  0.1611  0.8389  0.2500  8 Co 2.56-2.74, 4 Te 2.62-2.65
Co  0.3221  0.1611  0.7500  8 Co 2.56-2.74, 4 Te 2.62-2.65
Co  0.6779  0.8389  0.2500  8 Co 2.56-2.74, 4 Te 2.62-2.65
Co  0.8389  0.1611  0.7500  8 Co 2.56-2.74, 4 Te 2.62-2.65
Co  0.8389  0.6779  0.7500  8 Co 2.56-2.74, 4 Te 2.62-2.65
Te  0.3333  0.6667  0.7500  12 Co 2.62-2.65
Te  0.6667  0.3333  0.2500  12 Co 2.62-2.65

---

VASP calculation (PBE-GGA) on crystalline Tl2PtS2 at its relaxed geometry.

Output
E_tot   -4.168 eV per atom
V   125.6 Å³/cell

abc: 6.2615 6.2615 6.2615
angles: 146.56 107.96 81.79
Last column: nearest neighbours and their distance in Å.
Fractional positions:
Tl  0.1973  0.1973  0.0000  6 S 3.26-3.36, 2 Pt 3.38, 2 Tl 3.60
Tl  0.8027  0.8027  0.0000  6 S 3.26-3.36, 2 Pt 3.38, 2 Tl 3.60
Pt  0.5000  0.0000  0.5000  4 S 2.38
S  0.2890  0.5000  0.7890  2 Pt 2.38
S  0.7110  0.5000  0.2110  2 Pt 2.38

---

VASP calculation (PBE-GGA) on crystalline RbBeAsPt at its relaxed geometry.

Output
V   75.7 Å³/cell
E above lowest polymorph   0 meV per atom

abc: 4.7486 4.7486 4.7486
angles: 60.00 60.00 60.00
Last column: nearest neighbours and their distance in Å.
Fractional positions:
Rb  0.0000  0.0000  0.0000  4 Be 2.91, 4 As 2.91
Be  0.7500  0.7500  0.7500  4 Rb 2.91, 4 Pt 2.91
As  0.2500  0.2500  0.2500  4 Rb 2.91, 4 Pt 2.91
Pt  0.5000  0.5000  0.5000  4 Be 2.91, 4 As 2.91

---

VASP calculation (PBE-GGA) on crystalline HoZnB at its relaxed geometry.

Output
V   50.0 Å³/cell
E above lowest polymorph   0 meV per atom

abc: 4.1366 4.1366 4.1366
angles: 60.00 60.00 60.00
Last column: nearest neighbours and their distance in Å.
Fractional positions:
Ho  0.0000  0.0000  0.0000  4 B 2.53
Zn  0.5000  0.5000  0.5000  4 B 2.53
B  0.2500  0.2500  0.2500  4 Ho 2.53, 4 Zn 2.53

---

VASP calculation (PBE-GGA) on crystalline YTlPdS3 at its relaxed geometry.

Output
V   308.0 Å³/cell
E above lowest polymorph   0 meV per atom

abc: 8.0263 4.0045 10.0816
angles: 90.00 108.11 90.00
Last column: nearest neighbours and their distance in Å.
Fractional positions:
Y  0.1912  0.2500  0.1403  6 S 2.69-2.84
Y  0.8088  0.7500  0.8597  6 S 2.69-2.84
Tl  0.2411  0.7500  0.7179  4 S 3.14-3.21
Tl  0.7589  0.2500  0.2821  4 S 3.14-3.21
Pd  0.4134  0.7500  0.4116  4 S 2.35-2.51
Pd  0.5866  0.2500  0.5884  4 S 2.35-2.51
S  0.0490  0.2500  0.8605  3 Y 2.69-2.78
S  0.2726  0.2500  0.4354  3 Pd 2.35-2.51
S  0.4318  0.7500  0.1693  1 Pd 2.49, 2 Y 2.73
S  0.5682  0.2500  0.8307  1 Pd 2.49, 2 Y 2.73
S  0.7274  0.7500  0.5646  3 Pd 2.35-2.51
S  0.9510  0.7500  0.1395  3 Y 2.69-2.78

---

VASP calculation (PBE-GGA) on crystalline KGdGe at its relaxed geometry.

Output
V   98.6 Å³/cell
E above lowest polymorph   0 meV per atom

abc: 5.1864 5.1864 5.1864
angles: 60.00 60.00 60.00
Last column: nearest neighbours and their distance in Å.
Fractional positions:
K  0.0000  0.0000  0.0000  4 Ge 3.18
Gd  0.5000  0.5000  0.5000  4 Ge 3.18
Ge  0.7500  0.7500  0.7500  4 Gd 3.18, 4 K 3.18

---

VASP calculation (PBE-GGA) on crystalline DyErPt2 at its relaxed geometry.

Output
Calculated formation energy   -30.0 kcal/mol of atoms
V   174.1 Å³/cell

abc: 5.5522 4.4874 6.9871
angles: 90.00 90.33 90.00
Last column: nearest neighbours and their distance in Å.
Fractional positions:
Dy  0.1406  0.2500  0.1823  7 Pt 2.86-3.03
Dy  0.8594  0.7500  0.8177  7 Pt 2.86-3.03
Er  0.3600  0.2500  0.6814  7 Pt 2.85-3.02
Er  0.6400  0.7500  0.3186  7 Pt 2.85-3.02
Pt  0.1570  0.7500  0.4562  4 Er 2.85-3.02, 2 Pt 2.91, 3 Dy 2.95-3.03
Pt  0.3457  0.7500  0.9542  4 Dy 2.86-3.01, 2 Pt 2.89, 3 Er 2.95-3.02
Pt  0.6543  0.2500  0.0458  4 Dy 2.86-3.01, 2 Pt 2.89, 3 Er 2.95-3.02
Pt  0.8430  0.2500  0.5438  4 Er 2.85-3.02, 2 Pt 2.91, 3 Dy 2.95-3.03

---

VASP calculation (PBE-GGA) on crystalline LaPrNdGdZn12Ge6 at its relaxed geometry.

Output
E_tot   -3.244 eV per atom
V   418.7 Å³/cell

abc: 7.6747 4.1035 13.2937
angles: 90.00 90.00 90.00
Last column: nearest neighbours and their distance in Å.
Fractional positions:
La  0.0000  0.0000  0.0000  6 Ge 3.16, 9 Zn 3.27-3.45
Pr  0.9994  0.0000  0.3349  6 Ge 3.16-3.17, 9 Zn 3.24-3.44
Nd  0.5006  0.0000  0.8319  6 Ge 3.15-3.16, 9 Zn 3.24-3.44
Gd  0.5003  0.0000  0.5002  6 Ge 3.12, 9 Zn 3.23-3.43
Zn  0.1435  0.5000  0.5228  3 Ge 2.52-2.68, 2 Zn 2.82
Zn  0.1458  0.5000  0.8094  3 Ge 2.54-2.66, 4 Zn 2.82-2.84
Zn  0.1895  0.0000  0.6655  6 Zn 2.52-2.82, 2 Ge 2.53
Zn  0.2134  0.5000  0.1681  3 Ge 2.55-2.67, 4 Zn 2.82-2.84
Zn  0.4061  0.0000  0.2626  2 Zn 2.51-2.53, 2 Ge 2.54
Zn  0.4085  0.0000  0.0719  2 Zn 2.50-2.53, 2 Ge 2.53
Zn  0.6433  0.5000  0.3120  3 Ge 2.51-2.65
Zn  0.6438  0.5000  0.0223  3 Ge 2.54-2.66, 4 Zn 2.81-2.84
Zn  0.6892  0.0000  0.1680  2 Zn 2.50-2.51, 2 Ge 2.53
Zn  0.7105  0.5000  0.6660  3 Ge 2.51-2.64
Zn  0.9025  0.0000  0.5723  2 Zn 2.50-2.53, 2 Ge 2.53
Zn  0.9047  0.0000  0.7602  2 Zn 2.50-2.52, 2 Ge 2.53
Ge  0.3108  0.5000  0.9754  5 Zn 2.53-2.67
Ge  0.3117  0.5000  0.3604  5 Zn 2.52-2.66
Ge  0.3834  0.5000  0.6642  5 Zn 2.51-2.66
Ge  0.8041  0.5000  0.4764  5 Zn 2.51-2.68
Ge  0.8083  0.5000  0.8565  5 Zn 2.53-2.66
Ge  0.8817  0.5000  0.1676  5 Zn 2.53-2.66

---

VASP calculation (PBE-GGA) on crystalline HoAl6Cu6 at its relaxed geometry.

Output
E_tot   -4.150 eV per atom
V   187.8 Å³/cell

abc: 6.5970 6.5970 6.5970
angles: 134.89 99.18 97.74
Last column: nearest neighbours and their distance in Å.
Fractional positions:
Ho  0.0000  0.0000  0.0000  8 Al 2.96-3.07, 12 Cu 3.21-3.30
Al  0.2002  0.7002  0.5000  6 Cu 2.52-2.63
Al  0.3462  0.0000  0.3462  3 Al 2.63-2.92, 6 Cu 2.64-2.72
Al  0.3483  0.3483  0.0000  6 Cu 2.63-2.65, 3 Al 2.63-2.84
Al  0.6517  0.6517  0.0000  6 Cu 2.63-2.65, 3 Al 2.63-2.84
Al  0.6538  0.0000  0.6538  3 Al 2.63-2.92, 6 Cu 2.64-2.72
Al  0.7998  0.2998  0.5000  6 Cu 2.52-2.63
Cu  0.0000  0.0000  0.5000  4 Cu 2.52-2.53, 6 Al 2.52-2.64
Cu  0.0000  0.5000  0.0000  4 Cu 2.52-2.53, 6 Al 2.52-2.64
Cu  0.2306  0.5000  0.7306  4 Cu 2.52, 6 Al 2.63-2.72
Cu  0.5000  0.0000  0.0000  4 Cu 2.52-2.53, 6 Al 2.52-2.64
Cu  0.5000  0.5000  0.5000  4 Cu 2.52-2.53, 6 Al 2.52-2.64
Cu  0.7694  0.5000  0.2694  4 Cu 2.52, 6 Al 2.63-2.72

---

VASP calculation (PBE-GGA) on crystalline LiLu2Mo at its relaxed geometry.

Output
E_tot   -4.934 eV per atom
V   82.6 Å³/cell

abc: 4.8884 4.8884 4.8884
angles: 60.00 60.00 60.00
Last column: nearest neighbours and their distance in Å.
Fractional positions:
Li  0.0000  0.0000  0.0000  4 Mo 2.99, 4 Lu 2.99
Lu  0.5000  0.5000  0.5000  4 Mo 2.99, 4 Lu 2.99
Lu  0.7500  0.7500  0.7500  4 Lu 2.99, 4 Li 2.99
Mo  0.2500  0.2500  0.2500  4 Lu 2.99, 4 Li 2.99

---

VASP calculation (PBE-GGA) on crystalline NdTlZnS3 at its relaxed geometry.

Output
V   650.5 Å³/cell
E above lowest polymorph   16 meV per atom

abc: 14.4193 4.0757 11.0692
angles: 90.00 90.00 90.00
Last column: nearest neighbours and their distance in Å.
Fractional positions:
Nd  0.0249  0.2500  0.1583  6 S 2.79-2.95
Nd  0.4751  0.7500  0.6583  6 S 2.79-2.95
Nd  0.5249  0.2500  0.3417  6 S 2.79-2.95
Nd  0.9751  0.7500  0.8417  6 S 2.79-2.95
Tl  0.2406  0.2500  0.4616  4 S 3.13-3.38
Tl  0.2594  0.7500  0.9616  4 S 3.13-3.38
Tl  0.7406  0.2500  0.0384  4 S 3.13-3.38
Tl  0.7594  0.7500  0.5384  4 S 3.13-3.38
Zn  0.0188  0.7500  0.4034  4 S 2.33-2.44
Zn  0.4812  0.2500  0.9034  4 S 2.33-2.44
Zn  0.5188  0.7500  0.0966  4 S 2.33-2.44
Zn  0.9812  0.2500  0.5966  4 S 2.33-2.44
S  0.0736  0.7500  0.6081  3 Zn 2.40-2.44
S  0.0968  0.2500  0.9240  3 Nd 2.79-2.84
S  0.1366  0.7500  0.2593  1 Zn 2.33
S  0.3634  0.2500  0.7593  1 Zn 2.33
S  0.4032  0.7500  0.4240  3 Nd 2.79-2.84
S  0.4264  0.2500  0.1081  3 Zn 2.40-2.44
S  0.5736  0.7500  0.8919  3 Zn 2.40-2.44
S  0.5968  0.2500  0.5760  3 Nd 2.79-2.84
S  0.6366  0.7500  0.2407  1 Zn 2.33
S  0.8634  0.2500  0.7407  1 Zn 2.33
S  0.9032  0.7500  0.0760  3 Nd 2.79-2.84
S  0.9264  0.2500  0.3919  3 Zn 2.40-2.44